Entry 1:
Below is a relaxed structure of Pr12Cu3N5, with properties calculated at the GGA-PBE level.

a b c (Å): 13.8465 13.8465 13.8465
angles (deg): 109.47 109.47 109.47
Closest atoms and distances in Å follow each position.
Atoms (fractional coordinates):
1 Pr 0.0205 0.2034 0.1149  2 N 2.34-2.59
2 Pr 0.0205 0.3171 0.9055  2 N 2.34-2.59
3 Pr 0.0884 0.7034 0.6829  2 N 2.34-2.59
4 Pr 0.0884 0.8851 0.4055  2 N 2.34-2.59
5 Pr 0.0945 0.6149 0.4116  2 N 2.34-2.59
6 Pr 0.0945 0.9795 0.6829  2 N 2.34-2.59
7 Pr 0.1149 0.0205 0.2034  2 N 2.34-2.59
8 Pr 0.1149 0.5945 0.9116  2 N 2.34-2.59
9 Pr 0.1829 0.2034 0.5884  2 N 2.34-2.59
10 Pr 0.1829 0.4795 0.5945  2 N 2.34-2.59
11 Pr 0.2034 0.1149 0.0205  2 N 2.34-2.59
12 Pr 0.2034 0.5884 0.1829  2 N 2.34-2.59
13 Pr 0.2966 0.3171 0.9116  2 N 2.34-2.59
14 Pr 0.2966 0.4795 0.3851  2 N 2.34-2.59
15 Pr 0.3171 0.9055 0.0205  2 N 2.34-2.59
16 Pr 0.3171 0.9116 0.2966  2 N 2.34-2.59
17 Pr 0.3851 0.2966 0.4795  2 N 2.34-2.59
18 Pr 0.3851 0.5884 0.9055  2 N 2.34-2.59
19 Pr 0.4055 0.0884 0.8851  2 N 2.34-2.59
20 Pr 0.4055 0.8171 0.5205  2 N 2.34-2.59
21 Pr 0.4116 0.0945 0.6149  2 N 2.34-2.59
22 Pr 0.4116 0.8171 0.7966  2 N 2.34-2.59
23 Pr 0.4795 0.3851 0.2966  2 N 2.34-2.59
24 Pr 0.4795 0.5945 0.1829  2 N 2.34-2.59
25 Pr 0.5205 0.4055 0.8171  2 N 2.34-2.59
26 Pr 0.5205 0.6149 0.7034  2 N 2.34-2.59
27 Pr 0.5884 0.1829 0.2034  2 N 2.34-2.59
28 Pr 0.5884 0.9055 0.3851  2 N 2.34-2.59
29 Pr 0.5945 0.1829 0.4795  2 N 2.34-2.59
30 Pr 0.5945 0.9116 0.1149  2 N 2.34-2.59
31 Pr 0.6149 0.4116 0.0945  2 N 2.34-2.59
32 Pr 0.6149 0.7034 0.5205  2 N 2.34-2.59
33 Pr 0.6829 0.0884 0.7034  2 N 2.34-2.59
34 Pr 0.6829 0.0945 0.9795  2 N 2.34-2.59
35 Pr 0.7034 0.5205 0.6149  2 N 2.34-2.59
36 Pr 0.7034 0.6829 0.0884  2 N 2.34-2.59
37 Pr 0.7966 0.4116 0.8171  2 N 2.34-2.59
38 Pr 0.7966 0.8851 0.9795  2 N 2.34-2.59
39 Pr 0.8171 0.5205 0.4055  2 N 2.34-2.59
40 Pr 0.8171 0.7966 0.4116  2 N 2.34-2.59
41 Pr 0.8851 0.4055 0.0884  2 N 2.34-2.59
42 Pr 0.8851 0.9795 0.7966  2 N 2.34-2.59
43 Pr 0.9055 0.0205 0.3171  2 N 2.34-2.59
44 Pr 0.9055 0.3851 0.5884  2 N 2.34-2.59
45 Pr 0.9116 0.1149 0.5945  2 N 2.34-2.59
46 Pr 0.9116 0.2966 0.3171  2 N 2.34-2.59
47 Pr 0.9795 0.6829 0.0945  2 N 2.34-2.59
48 Pr 0.9795 0.7966 0.8851  2 N 2.34-2.59
49 Cu 0.1250 0.2500 0.3750  8 Pr 3.14-3.20
50 Cu 0.1250 0.3750 0.7500  8 Pr 3.14-3.20
51 Cu 0.2500 0.3750 0.1250  8 Pr 3.14-3.20
52 Cu 0.2500 0.8750 0.6250  8 Pr 3.14-3.20
53 Cu 0.3750 0.1250 0.2500  8 Pr 3.14-3.20
54 Cu 0.3750 0.7500 0.1250  8 Pr 3.14-3.20
55 Cu 0.6250 0.2500 0.8750  8 Pr 3.14-3.20
56 Cu 0.6250 0.8750 0.7500  8 Pr 3.14-3.20
57 Cu 0.7500 0.1250 0.3750  8 Pr 3.14-3.20
58 Cu 0.7500 0.6250 0.8750  8 Pr 3.14-3.20
59 Cu 0.8750 0.6250 0.2500  8 Pr 3.14-3.20
60 Cu 0.8750 0.7500 0.6250  8 Pr 3.14-3.20
61 N 0.0000 0.0000 0.0000  6 Pr 2.59
62 N 0.0000 0.0000 0.5000  6 Pr 2.59
63 N 0.0000 0.5000 0.0000  6 Pr 2.59
64 N 0.0000 0.5000 0.5000  6 Pr 2.59
65 N 0.1250 0.7500 0.8750  4 Pr 2.34
66 N 0.1250 0.8750 0.2500  4 Pr 2.34
67 N 0.2500 0.1250 0.8750  4 Pr 2.34
68 N 0.2500 0.6250 0.3750  4 Pr 2.34
69 N 0.3750 0.2500 0.6250  4 Pr 2.34
70 N 0.3750 0.6250 0.7500  4 Pr 2.34
71 N 0.5000 0.0000 0.0000  6 Pr 2.59
72 N 0.5000 0.0000 0.5000  6 Pr 2.59
73 N 0.5000 0.5000 0.0000  6 Pr 2.59
74 N 0.5000 0.5000 0.5000  6 Pr 2.59
75 N 0.6250 0.3750 0.2500  4 Pr 2.34
76 N 0.6250 0.7500 0.3750  4 Pr 2.34
77 N 0.7500 0.3750 0.6250  4 Pr 2.34
78 N 0.7500 0.8750 0.1250  4 Pr 2.34
79 N 0.8750 0.1250 0.7500  4 Pr 2.34
80 N 0.8750 0.2500 0.1250  4 Pr 2.34

Properties
**Magnetic moment**: 0.000 μB/f.u.
**ΔE_f (raw)**: -551 meV per atom
**N(E_F)**: 86.3 states/eV per cell



Entry 2:
Below is a relaxed structure of PrCuN, with properties calculated at the GGA-PBE level.

a b c (Å): 7.7330 7.7330 3.7503
angles (deg): 90.00 90.00 152.59
Closest atoms and distances in Å follow each position.
Atoms (fractional coordinates):
1 Pr 0.1641 0.8359 0.7500  5 N 2.39-2.63
2 Pr 0.8359 0.1641 0.2500  5 N 2.39-2.63
3 Cu 0.4509 0.5491 0.7500  1 N 1.92
4 Cu 0.5491 0.4509 0.2500  1 N 1.92
5 N 0.3228 0.6772 0.7500  1 Cu 1.92
6 N 0.6772 0.3228 0.2500  1 Cu 1.92

Properties
**Magnetic moment**: 0.000 μB/f.u.
**ΔE_f (raw)**: -685 meV per atom
**N(E_F)**: 2.6 states/eV per cell



Entry 3:
Below is a relaxed structure of PrCuSiN, with properties calculated at the GGA-PBE level.

a b c (Å): 3.8407 3.8407 8.4336
angles (deg): 90.00 90.00 90.00
Closest atoms and distances in Å follow each position.
Atoms (fractional coordinates):
1 Pr 0.2500 0.2500 0.1599  5 N 2.44-2.73
2 Pr 0.7500 0.7500 0.8401  5 N 2.44-2.73
3 Cu 0.2500 0.7500 0.5000  4 Si 2.36
4 Cu 0.7500 0.2500 0.5000  4 Si 2.36
5 Si 0.2500 0.2500 0.6622  1 N 1.76
6 Si 0.7500 0.7500 0.3378  1 N 1.76
7 N 0.2500 0.2500 0.8709  1 Si 1.76
8 N 0.7500 0.7500 0.1291  1 Si 1.76

Properties
**Magnetic moment**: 0.000 μB/f.u.
**ΔE_f (raw)**: -857 meV per atom
**N(E_F)**: 1.7 states/eV per cell



Entry 4:
Below is a relaxed structure of SrPrCuN2, with properties calculated at the GGA-PBE level.

a b c (Å): 5.4292 5.4589 6.8789
angles (deg): 90.00 90.00 90.00
Closest atoms and distances in Å follow each position.
Atoms (fractional coordinates):
1 Sr 0.0000 0.0000 0.2500  4 N 2.70
2 Sr 0.0000 0.0000 0.7500  4 N 2.70
3 Pr 0.5000 0.5000 0.2500  4 N 2.47
4 Pr 0.5000 0.5000 0.7500  4 N 2.47
5 Cu 0.0000 0.5000 0.0000  2 N 1.86
6 Cu 0.0000 0.5000 0.5000  2 N 1.86
7 N 0.2610 0.2781 0.0000  1 Cu 1.86
8 N 0.2610 0.7219 0.5000  1 Cu 1.86
9 N 0.7390 0.2781 0.5000  1 Cu 1.86
10 N 0.7390 0.7219 0.0000  1 Cu 1.86

Properties
**Magnetic moment**: 0.000 μB/f.u.
**ΔE_f (raw)**: -590 meV per atom



Entry 5:
Below is a relaxed structure of PrTh2CuN4, with properties calculated at the GGA-PBE level.

a b c (Å): 6.1847 6.1847 11.9566
angles (deg): 90.00 90.00 145.80
Closest atoms and distances in Å follow each position.
Atoms (fractional coordinates):
1 Pr 0.1007 0.8993 0.7500  2 N 2.52
2 Pr 0.8993 0.1007 0.2500  2 N 2.52
3 Th 0.3685 0.6315 0.5598  6 N 2.41-2.50
4 Th 0.3685 0.6315 0.9402  6 N 2.41-2.50
5 Th 0.6315 0.3685 0.0598  6 N 2.41-2.50
6 Th 0.6315 0.3685 0.4402  6 N 2.41-2.50
7 Cu 0.1661 0.8339 0.2500  2 N 2.01
8 Cu 0.8339 0.1661 0.7500  2 N 2.01
9 N 0.0000 0.0000 0.0000  4 Th 2.50
10 N 0.0000 0.0000 0.5000  4 Th 2.50
11 N 0.2655 0.7345 0.1138  1 Cu 2.01
12 N 0.2655 0.7345 0.3862  1 Cu 2.01
13 N 0.4531 0.5469 0.7500  2 Cu 2.30, 2 Th 2.48, 2 Pr 2.52
14 N 0.5469 0.4531 0.2500  2 Cu 2.30, 2 Th 2.48, 2 Pr 2.52
15 N 0.7345 0.2655 0.6138  1 Cu 2.01
16 N 0.7345 0.2655 0.8862  1 Cu 2.01

Properties
**Magnetic moment**: 0.000 μB/f.u.
**ΔE_f (raw)**: -1189 meV per atom



Entry 6:
Below is a relaxed structure of PrZr2CuN4, with properties calculated at the GGA-PBE level.

a b c (Å): 5.7660 5.7660 11.2747
angles (deg): 90.00 90.00 146.34
Closest atoms and distances in Å follow each position.
Atoms (fractional coordinates):
1 Pr 0.1054 0.8946 0.7500  6 N 2.42-2.71
2 Pr 0.8946 0.1054 0.2500  6 N 2.42-2.71
3 Zr 0.3664 0.6336 0.5556  6 N 2.16-2.36
4 Zr 0.3664 0.6336 0.9444  6 N 2.16-2.36
5 Zr 0.6336 0.3664 0.0556  6 N 2.16-2.36
6 Zr 0.6336 0.3664 0.4444  6 N 2.16-2.36
7 Cu 0.1584 0.8416 0.2500  4 N 1.98-2.03
8 Cu 0.8416 0.1584 0.7500  4 N 1.98-2.03
9 N 0.0000 0.0000 0.0000  4 Zr 2.31
10 N 0.0000 0.0000 0.5000  4 Zr 2.31
11 N 0.2655 0.7345 0.1087  1 Cu 1.98, 1 Zr 2.16
12 N 0.2655 0.7345 0.3913  1 Cu 1.98, 1 Zr 2.16
13 N 0.4461 0.5539 0.7500  2 Cu 2.03
14 N 0.5539 0.4461 0.2500  2 Cu 2.03
15 N 0.7345 0.2655 0.6087  1 Cu 1.98, 1 Zr 2.16
16 N 0.7345 0.2655 0.8913  1 Cu 1.98, 1 Zr 2.16

Properties
**Magnetic moment**: 0.000 μB/f.u.
**ΔE_f (raw)**: -1200 meV per atom
**N(E_F)**: 0.9 states/eV per cell



Entry 7:
Below is a relaxed structure of CuPtN2, with properties calculated at the GGA-PBE level.

a b c (Å): 6.2197 6.2197 6.2197
angles (deg): 27.07 27.07 27.07
Closest atoms and distances in Å follow each position.
Atoms (fractional coordinates):
1 Cu 0.0000 0.0000 0.0000  6 N 1.98
2 Pt 0.5000 0.5000 0.5000  2 N 1.95
3 N 0.3917 0.3917 0.3917  1 Pt 1.95, 3 Cu 1.98
4 N 0.6083 0.6083 0.6083  1 Pt 1.95, 3 Cu 1.98

Properties
**Magnetic moment**: 0.000 μB/f.u.
**Energy above the most stable polymorph in this dataset**: 119.5 meV per atom
**ΔE_f (raw)**: 867 meV per atom
**N(E_F)**: 2.1 states/eV per cell



Entry 8:
Below is a relaxed structure of CuPtN, with properties calculated at the GGA-PBE level.

a b c (Å): 8.0039 8.0039 8.0039
angles (deg): 157.94 157.94 31.40
Closest atoms and distances in Å follow each position.
Atoms (fractional coordinates):
1 Cu 0.2130 0.2130 0.0000  1 N 1.93
2 Cu 0.7870 0.7870 0.0000  1 N 1.93
3 Pt 0.4017 0.4017 0.0000  4 N 2.17
4 Pt 0.5983 0.5983 0.0000  4 N 2.17
5 N 0.0880 0.0880 0.0000  1 Cu 1.93
6 N 0.9120 0.9120 0.0000  1 Cu 1.93

Properties
**Magnetic moment**: 0.000 μB/f.u.
**Energy above the most stable polymorph in this dataset**: 338.1 meV per atom
**ΔE_f (raw)**: 809 meV per atom
**N(E_F)**: 3.8 states/eV per cell



Question: The lowest ΔE_f (raw) belongs to which entry?
Answer: PrZr2CuN4



Question: Among the records above, which one has the lowest ΔE_f (raw)?
Answer: PrZr2CuN4



Copy entry 3 word for word.
Below is a relaxed structure of PrCuSiN, with properties calculated at the GGA-PBE level.

a b c (Å): 3.8407 3.8407 8.4336
angles (deg): 90.00 90.00 90.00
Closest atoms and distances in Å follow each position.
Atoms (fractional coordinates):
1 Pr 0.2500 0.2500 0.1599  5 N 2.44-2.73
2 Pr 0.7500 0.7500 0.8401  5 N 2.44-2.73
3 Cu 0.2500 0.7500 0.5000  4 Si 2.36
4 Cu 0.7500 0.2500 0.5000  4 Si 2.36
5 Si 0.2500 0.2500 0.6622  1 N 1.76
6 Si 0.7500 0.7500 0.3378  1 N 1.76
7 N 0.2500 0.2500 0.8709  1 Si 1.76
8 N 0.7500 0.7500 0.1291  1 Si 1.76

Properties
**Magnetic moment**: 0.000 μB/f.u.
**ΔE_f (raw)**: -857 meV per atom
**N(E_F)**: 1.7 states/eV per cell